# 1
4
Lattice="-1.8359 3.9582 0.7223 -2.3070 0.7250 3.7030 1.6320 2.6551 3.1380" Properties=species:S:1:pos:R:3 comment="Mg2CoW | Alexandria via LeMat-Bulk | PBE | optimized geometry" crystal_system=cubic n_ef_per_ev_cell=3.9 e_above_lowest_polymorph_mev_per_atom=304 mass_density_g_cm3=7.91 sg=F-43m ef_mev_per_atom=457 pbc="T T T"
Co -1.2554 3.6691 3.7816
Mg 0.0000 0.0000 0.0000
Mg -1.8831 5.5037 5.6725
W -0.6277 1.8346 1.8908

# 2
19
Lattice="-1.8830 -5.4811 2.9106 -1.1604 -3.4274 -5.3820 5.7076 -3.0682 -0.2625" Properties=species:S:1:pos:R:3 comment="Ca2Cu17 | Alexandria via LeMat-Bulk | PBE | optimized geometry" crystal_system=trigonal n_ef_per_ev_cell=6.6 mass_density_g_cm3=7.22 sg=R-3m ef_mev_per_atom=-69 pbc="T T T"
Ca 0.9109 -4.0948 -0.9347
Ca 1.7534 -7.8818 -1.7992
Cu -1.1365 -6.3194 -1.6641
Cu 2.7037 -5.0987 -3.2694
Cu 2.4062 -10.8167 -2.4692
Cu 0.2580 -1.1600 -0.2648
Cu 2.8538 -1.5341 -0.1313
Cu -0.5802 -1.7137 -2.6910
Cu -0.9415 -2.7405 1.4553
Cu -1.3732 -4.0323 -2.9393
Cu 0.3530 -4.7703 1.9759
Cu 3.6845 -3.1740 -1.7706
Cu -1.6701 -4.8761 0.4679
Cu 3.4717 -3.7789 0.6722
Cu 0.8627 -3.3216 -3.8740
Cu -0.0395 -6.8779 0.5355
Cu 3.8007 -5.6572 -1.0699
Cu 0.3261 -5.8389 -3.6599
Cu 2.3382 -6.1377 0.9260

# 3
8
Lattice="-4.6372 3.7783 -5.8820 -4.8210 -6.8398 -0.5923 2.0557 3.1425 6.3795" Properties=species:S:1:pos:R:3 comment="Ba2SbTe5 | Alexandria via LeMat-Bulk | PBE | optimized geometry" e_form_raw_ev_per_fu=-6.91 crystal_system=tetragonal n_ef_per_ev_cell=1.0 mass_density_g_cm3=5.51 sg=I4mm pbc="T T T"
Ba -3.9236 -2.5084 1.4818
Ba -3.8314 2.8011 -1.1629
Sb -7.1962 -0.0431 -0.3371
Te -4.8686 1.2745 -4.3604
Te -2.5161 -0.6423 -1.3766
Te -7.3133 -2.1952 -4.6606
Te -4.9616 -4.1119 -1.6773
Te -5.3209 -1.1737 -2.5414

# 4
80
Lattice="12.6215 0.0000 0.0000 -4.2072 11.8997 0.0000 -4.2072 -5.9498 10.3054" Properties=species:S:1:pos:R:3 comment="Rb3In5H12 | Alexandria via LeMat-Bulk | PBE | optimized geometry" crystal_system=cubic n_ef_per_ev_cell=11.7 mass_density_g_cm3=3.62 total_energy_ev_per_cell=-218.962 sg=Ia-3d pbc="T T T"
Rb 7.3626 3.7187 1.2882
Rb 7.3626 8.1810 1.2882
Rb -1.0518 5.2061 6.4409
Rb 1.0518 -0.7437 3.8645
Rb 9.4661 0.0000 2.5764
Rb 1.0518 5.9498 2.5764
Rb 3.1554 0.0000 7.7291
Rb -5.2590 5.9498 7.7291
Rb 3.1554 6.6936 6.4409
Rb 5.2590 0.7437 3.8645
Rb -3.1554 -2.2312 9.0173
Rb -3.1554 2.2312 9.0173
In -1.0518 2.9749 2.5764
In -2.1036 5.9498 0.0000
In 0.0000 0.0000 0.0000
In 3.1554 2.2312 1.2882
In 4.2072 -2.9749 5.1527
In 4.2072 5.9498 0.0000
In -3.1554 6.6936 3.8645
In 5.2590 -3.7187 9.0173
In 5.2590 5.2061 3.8645
In 1.0518 -2.9749 7.7291
In 3.1554 8.9248 2.5764
In 2.1036 2.9749 5.1527
In 6.3108 0.0000 0.0000
In -2.1036 -2.9749 5.1527
In -1.0518 0.7437 6.4409
In -1.0518 9.6685 1.2882
In -4.2072 2.9749 5.1527
In 7.3626 -0.7437 6.4409
In 1.0518 3.7187 9.0173
In 5.2590 2.9749 7.7291
H 4.2444 -4.6085 10.2609
H -0.0372 3.6071 3.9688
H -2.8249 2.8791 3.0398
H 4.9285 1.7819 1.1394
H 1.5525 4.1691 7.3101
H -3.4132 6.0713 2.1574
H -1.3823 7.0470 4.1792
H -2.8249 10.1178 1.1394
H 4.7583 -4.1691 7.3101
H 5.5168 5.8283 2.1574
H 6.2736 3.6842 4.0133
H 2.0664 4.6085 10.2609
H -3.6561 5.4404 5.1082
H 2.8976 4.0207 0.9735
H -4.1700 8.2155 4.0133
H 2.0664 -2.3428 6.3366
H -0.5511 1.2713 2.1129
H 2.8976 7.7575 1.1839
H 4.9285 9.0206 3.0398
H -0.7940 4.1422 1.1839
H 1.5525 -4.6786 8.1925
H 3.4858 4.8527 4.1792
H 5.7597 6.4593 5.1082
H 5.0012 -1.9291 9.3320
H 0.7213 1.0972 6.1262
H -1.5525 -0.5094 5.1972
H -0.7940 7.8790 0.9735
H -0.7213 -3.0707 7.2656
H 2.6547 10.6284 2.1129
H 5.0012 1.8076 9.1215
H 1.3096 -1.8076 9.1215
H 2.1408 8.2926 3.9688
H 4.7583 4.6786 8.1925
H 8.3772 -2.2657 6.2921
H 7.8633 0.5094 5.1972
H 2.1408 1.3414 0.0445
H 1.3096 1.9291 9.3320
H -0.5511 10.1190 2.9953
H -1.3096 0.1215 8.1480
H -2.0664 2.2657 6.2921
H 7.0321 -4.1679 9.1660
H 5.5894 -1.0972 6.1262
H -0.7213 4.1679 9.1660
H 7.6204 -0.1215 8.1480
H 2.6547 1.7807 2.9953
H 7.0321 3.0707 7.2656
H 4.2444 2.3428 6.3366
H -0.0372 10.5583 0.0445

# 5
5
Lattice="-3.2408 0.6790 2.4219 -1.4814 -3.7075 -0.9429 2.0327 -1.6195 3.1741" Properties=species:S:1:pos:R:3 comment="Li3NbO | Alexandria via LeMat-Bulk | PBE | optimized geometry" e_form_raw_ev_per_fu=-0.27 crystal_system=cubic n_ef_per_ev_cell=4.8 e_above_lowest_polymorph_mev_per_atom=0 mass_density_g_cm3=3.12 sg=Pm-3m pbc="T T T"
Nb -1.3447 -2.3240 2.3265
O 0.0000 0.0000 0.0000
Li -0.7407 -1.8538 -0.4715
Li 1.0164 -0.8097 1.5870
Li -1.6204 0.3395 1.2110

# 6
6
Lattice="-3.6062 -0.6395 -3.8877 -3.3452 -4.0675 3.7721 0.4610 6.7548 2.1303" Properties=species:S:1:pos:R:3 comment="La2SmSn3 | Alexandria via LeMat-Bulk | PBE | optimized geometry" crystal_system=orthorhombic n_ef_per_ev_cell=4.9 mass_density_g_cm3=6.58 sg=Immm ef_mev_per_atom=-611 pbc="T T T"
La -2.8381 1.1913 -1.2324
La -3.6523 0.8566 3.2470
Sm -1.6726 -2.0337 1.8860
Sn -2.1212 3.0969 1.4582
Sn 0.0000 0.0000 0.0000
Sn -4.3692 -1.0491 0.5564